[1]
First-principles (PBE) data for CaMn2Tc after structural relaxation, as listed in the Alexandria database.

```
CaMn2Tc
1.0
3.032 0.000 0.000
0.000 3.032 0.000
0.000 0.000 7.525
Ca Mn Tc
1 2 1
direct
0.000 0.000 0.000
0.000 0.000 0.534
0.500 0.500 0.331
0.500 0.500 0.699
```

Formation energy, eV per atom: 0.397
ΔE to the lowest computed polymorph, meV/atom: 38
M_tot, μB/f.u.: 5.0
SG: P4mm

=====

[2]
First-principles (PBE) data for Zr2Cr2Au after structural relaxation, as listed in the Alexandria database.

```
Zr2Cr2Au
1.0
6.622 0.000 0.000
0.000 6.622 0.000
0.000 0.000 4.039
Zr Cr Au
4 4 2
direct
0.183 0.317 0.000
0.317 0.817 0.000
0.683 0.183 0.000
0.817 0.683 0.000
0.104 0.604 0.500
0.396 0.104 0.500
0.604 0.896 0.500
0.896 0.396 0.500
0.000 0.000 0.500
0.500 0.500 0.500
```

Formation energy, eV per atom: -0.040
M_tot, μB/f.u.: 0.0
SG: P4/mbm

=====

[3]
First-principles (PBE) data for KSr2SiF after structural relaxation, as listed in the Alexandria database.

```
KSr2SiF
1.0
6.745 0.000 0.000
0.000 6.745 0.000
0.000 0.000 5.198
K Sr Si F
1 2 1 1
direct
0.000 0.000 0.000
0.000 0.500 0.000
0.500 0.000 0.000
0.000 0.000 0.500
0.500 0.500 0.500
```

M_tot, μB/f.u.: 0.0
Formation energy without anion corrections, eV/atom: 0.39
SG: P4/mmm

=====

[4]
First-principles (PBE) data for ErPuAgPd after structural relaxation, as listed in the Alexandria database.

```
ErPuAgPd
1.0
0.000 3.574 3.574
3.574 0.000 3.574
3.574 3.574 0.000
Er Pu Ag Pd
1 1 1 1
direct
0.000 0.000 0.000
0.500 0.500 0.500
0.250 0.250 0.250
0.750 0.750 0.750
```

Formation energy, eV per atom: -0.327
M_tot, μB/f.u.: 5.7
SG: F-43m

=====

[5]
First-principles (PBE) data for Sm11In9Ga4 after structural relaxation, as listed in the Alexandria database.

```
Sm11In9Ga4
1.0
7.013 -10.490 0.000
7.013 10.490 0.000
0.000 0.000 4.348
Sm In Ga
11 9 4
direct
0.000 0.000 0.000
0.073 0.413 0.000
0.171 0.829 0.000
0.298 0.298 0.000
0.369 0.631 0.000
0.413 0.073 0.000
0.587 0.927 0.000
0.631 0.369 0.000
0.702 0.702 0.000
0.829 0.171 0.000
0.927 0.587 0.000
0.060 0.212 0.500
0.151 0.626 0.500
0.212 0.060 0.500
0.374 0.849 0.500
0.500 0.500 0.500
0.626 0.151 0.500
0.788 0.940 0.500
0.849 0.374 0.500
0.940 0.788 0.500
0.251 0.449 0.500
0.449 0.251 0.500
0.551 0.749 0.500
0.749 0.551 0.500
```

Formation energy, eV per atom: -0.520
M_tot, μB/f.u.: 0.0
SG: Cmmm

=====

[6]
First-principles (PBE) data for K3Ac3GaTe8 after structural relaxation, as listed in the Alexandria database.

```
K3Ac3GaTe8
1.0
8.155 -4.705 0.000
8.155 4.705 0.000
-5.444 0.000 8.460
K Ac Ga Te
3 3 1 8
direct
0.000 0.000 0.000
0.000 0.500 0.000
0.500 0.000 0.000
0.000 0.500 0.500
0.500 0.000 0.500
0.500 0.500 0.500
0.000 0.000 0.500
0.213 0.213 0.700
0.216 0.770 0.703
0.230 0.784 0.297
0.258 0.258 0.274
0.742 0.742 0.726
0.770 0.216 0.703
0.784 0.230 0.297
0.787 0.787 0.300
```

M_tot, μB/f.u.: 0.0
Formation energy without anion corrections, eV/atom: -1.09
SG: C2/m

=====

[7]
First-principles (PBE) data for Hf5TiOs4 after structural relaxation, as listed in the Alexandria database.

```
Hf5TiOs4
1.0
3.245 0.000 0.000
0.000 3.245 0.000
0.000 0.000 16.813
Hf Ti Os
5 1 4
direct
0.000 0.000 0.000
0.000 0.000 0.195
0.000 0.000 0.388
0.000 0.000 0.612
0.000 0.000 0.805
0.500 0.500 0.500
0.500 0.500 0.097
0.500 0.500 0.292
0.500 0.500 0.708
0.500 0.500 0.903
```

Formation energy, eV per atom: -0.547
M_tot, μB/f.u.: 0.0
SG: P4/mmm

=====

[8]
First-principles (PBE) data for Ac3Sn4Pt2 after structural relaxation, as listed in the Alexandria database.

```
Ac3Sn4Pt2
1.0
5.822 -2.465 0.000
5.822 2.465 0.000
-2.649 0.000 8.970
Ac Sn Pt
3 4 2
direct
0.000 0.000 0.000
0.370 0.370 0.314
0.630 0.630 0.686
0.107 0.107 0.420
0.286 0.286 0.928
0.714 0.714 0.072
0.893 0.893 0.580
0.344 0.344 0.668
0.656 0.656 0.332
```

Formation energy, eV per atom: -0.831
M_tot, μB/f.u.: 0.0
SG: C2/m